(1)
First-principles (PBE-GGA) data for a relaxed MnB2H17N3 crystal, as listed in the Alexandria database.

Cell lengths 11.1401, 8.2573, 9.7898 Å; angles 90.00, 90.00, 90.00 degrees
With the nearest neighbours (Å) after each atom.
Atoms (fractional coordinates):
1 Mn 0.1938 0.2500 0.0478  3 H 2.01-2.11, 3 N 2.24
2 Mn 0.3062 0.7500 0.5478  3 H 2.01-2.11, 3 N 2.24
3 Mn 0.6938 0.2500 0.4522  3 H 2.01-2.11, 3 N 2.24
4 Mn 0.8062 0.7500 0.9522  3 H 2.01-2.11, 3 N 2.24
5 B 0.0710 0.2500 0.8327  4 H 1.22-1.25
6 B 0.1732 0.2500 0.3030  4 H 1.22-1.25
7 B 0.3268 0.7500 0.8030  4 H 1.22-1.25
8 B 0.4290 0.7500 0.3327  4 H 1.22-1.25
9 B 0.5710 0.2500 0.6673  4 H 1.22-1.25
10 B 0.6732 0.2500 0.1970  4 H 1.22-1.25
11 B 0.8268 0.7500 0.6970  4 H 1.22-1.25
12 B 0.9290 0.7500 0.1673  4 H 1.22-1.25
13 H 0.0326 0.2500 0.9532  1 B 1.25
14 H 0.0358 0.1261 0.7773  1 B 1.22
15 H 0.0358 0.3739 0.7773  1 B 1.22
16 H 0.0506 0.7500 0.5693  1 N 1.03
17 H 0.0905 0.2500 0.2166  1 B 1.25
18 H 0.0904 0.6521 0.4312  1 N 1.02
19 H 0.0904 0.8479 0.4312  1 N 1.02
20 H 0.1082 0.5629 0.0859  1 N 1.03
21 H 0.1082 0.9371 0.0859  1 N 1.03
22 H 0.1243 0.2500 0.4145  1 B 1.22
23 H 0.1825 0.2500 0.8323  1 B 1.24
24 H 0.2109 0.5768 0.9640  1 N 1.03
25 H 0.2109 0.9232 0.9640  1 N 1.03
26 H 0.2353 0.1287 0.2898  1 B 1.22
27 H 0.2353 0.3713 0.2898  1 B 1.22
28 H 0.2491 0.0618 0.6254  1 N 1.02
29 H 0.2491 0.4382 0.6254  1 N 1.02
30 H 0.2509 0.5618 0.1254  1 N 1.02
31 H 0.2509 0.9382 0.1254  1 N 1.02
32 H 0.2647 0.6287 0.7898  1 B 1.22
33 H 0.2647 0.8713 0.7898  1 B 1.22
34 H 0.2891 0.0768 0.4640  1 N 1.03
35 H 0.2891 0.4232 0.4640  1 N 1.03
36 H 0.3175 0.7500 0.3323  1 B 1.24
37 H 0.3757 0.7500 0.9145  1 B 1.22
38 H 0.3918 0.0629 0.5859  1 N 1.03
39 H 0.3918 0.4371 0.5859  1 N 1.03
40 H 0.4096 0.1521 0.9312  1 N 1.02
41 H 0.4096 0.3479 0.9312  1 N 1.02
42 H 0.4095 0.7500 0.7166  1 B 1.25
43 H 0.4494 0.2500 0.0693  1 N 1.03
44 H 0.4642 0.6261 0.2773  1 B 1.22
45 H 0.4642 0.8739 0.2773  1 B 1.22
46 H 0.4674 0.7500 0.4532  1 B 1.25
47 H 0.5326 0.2500 0.5468  1 B 1.25
48 H 0.5358 0.1261 0.7227  1 B 1.22
49 H 0.5358 0.3739 0.7227  1 B 1.22
50 H 0.5506 0.7500 0.9307  1 N 1.03
51 H 0.5905 0.2500 0.2834  1 B 1.25
52 H 0.5904 0.6521 0.0688  1 N 1.02
53 H 0.5904 0.8479 0.0688  1 N 1.02
54 H 0.6082 0.5629 0.4141  1 N 1.03
55 H 0.6082 0.9371 0.4141  1 N 1.03
56 H 0.6243 0.2500 0.0855  1 B 1.22
57 H 0.6825 0.2500 0.6677  1 B 1.24
58 H 0.7109 0.5768 0.5360  1 N 1.03
59 H 0.7109 0.9232 0.5360  1 N 1.03
60 H 0.7353 0.1287 0.2102  1 B 1.22
61 H 0.7353 0.3713 0.2102  1 B 1.22
62 H 0.7491 0.0618 0.8746  1 N 1.02
63 H 0.7491 0.4382 0.8746  1 N 1.02
64 H 0.7509 0.5618 0.3746  1 N 1.02
65 H 0.7509 0.9382 0.3746  1 N 1.02
66 H 0.7647 0.6287 0.7102  1 B 1.22
67 H 0.7647 0.8713 0.7102  1 B 1.22
68 H 0.7891 0.0768 0.0360  1 N 1.03
69 H 0.7891 0.4232 0.0360  1 N 1.03
70 H 0.8175 0.7500 0.1677  1 B 1.24
71 H 0.8757 0.7500 0.5855  1 B 1.22
72 H 0.8918 0.0629 0.9141  1 N 1.03
73 H 0.8918 0.4371 0.9141  1 N 1.03
74 H 0.9096 0.1521 0.5688  1 N 1.02
75 H 0.9096 0.3479 0.5688  1 N 1.02
76 H 0.9095 0.7500 0.7834  1 B 1.25
77 H 0.9494 0.2500 0.4307  1 N 1.03
78 H 0.9642 0.6261 0.2227  1 B 1.22
79 H 0.9642 0.8739 0.2227  1 B 1.22
80 H 0.9674 0.7500 0.0468  1 B 1.25
81 N 0.1118 0.7500 0.4907  3 H 1.02-1.03
82 N 0.1904 0.5206 0.0547  3 H 1.02-1.03
83 N 0.1904 0.9794 0.0547  3 H 1.02-1.03
84 N 0.3096 0.0206 0.5547  3 H 1.02-1.03
85 N 0.3096 0.4794 0.5547  3 H 1.02-1.03
86 N 0.3882 0.2500 0.9907  3 H 1.02-1.03
87 N 0.6118 0.7500 0.0093  3 H 1.02-1.03
88 N 0.6904 0.5206 0.4453  3 H 1.02-1.03
89 N 0.6904 0.9794 0.4453  3 H 1.02-1.03
90 N 0.8096 0.0206 0.9453  3 H 1.02-1.03
91 N 0.8096 0.4794 0.9453  3 H 1.02-1.03
92 N 0.8882 0.2500 0.5093  3 H 1.02-1.03

Summary:
Space group: Pnma (62)
Crystal system: orthorhombic


(2)
First-principles (PBE-GGA) data for a relaxed Tl6S2F crystal, as listed in the Alexandria database.

Cell lengths 6.8371, 6.8371, 11.2174 Å; angles 114.13, 114.13, 34.86 degrees
With the nearest neighbours (Å) after each atom.
Atoms (fractional coordinates):
1 Tl 0.0181 0.0181 0.2585  1 F 2.82, 2 S 2.90
2 Tl 0.3405 0.3405 0.4339  2 F 2.78, 1 S 2.86
3 Tl 0.3422 0.3422 0.9149  3 S 2.97-3.00
4 Tl 0.6578 0.6578 0.0851  3 S 2.97-3.00
5 Tl 0.6595 0.6595 0.5661  2 F 2.78, 1 S 2.86
6 Tl 0.9819 0.9819 0.7415  1 F 2.82, 2 S 2.90
7 S 0.3440 0.3440 0.1807  6 Tl 2.86-3.00
8 S 0.6560 0.6560 0.8193  6 Tl 2.86-3.00
9 F 0.0000 0.0000 0.5000  6 Tl 2.78-2.82

Summary:
ΔE_f (raw) (eV per atom): -0.559
Space group: C2/m (12)
Crystal system: monoclinic


(3)
First-principles (PBE-GGA) data for a relaxed LaDy6Y2 crystal, as listed in the Alexandria database.

Cell lengths 3.5959, 3.5959, 26.3792 Å; angles 90.00, 90.00, 120.00 degrees
With the nearest neighbours (Å) after each atom.
Atoms (fractional coordinates):
1 La 0.0000 0.0000 0.0000  6 La 3.60, 6 Dy 3.66
2 Dy 0.0000 0.0000 0.2206  9 Dy 3.49-3.60, 3 Y 3.55
3 Dy 0.0000 0.0000 0.4355  7 Dy 3.40-3.60, 3 Y 3.48
4 Dy 0.0000 0.0000 0.5645  7 Dy 3.40-3.60, 3 Y 3.48
5 Dy 0.0000 0.0000 0.7794  9 Dy 3.49-3.60, 3 Y 3.55
6 Dy 0.3333 0.6667 0.1143  9 Dy 3.49-3.60, 3 La 3.66
7 Dy 0.3333 0.6667 0.8857  9 Dy 3.49-3.60, 3 La 3.66
8 Y 0.3333 0.6667 0.3297  6 Dy 3.48-3.55, 6 Y 3.60
9 Y 0.3333 0.6667 0.6703  6 Dy 3.48-3.55, 6 Y 3.60

Summary:
Energy relative to the elements (kcal/mol of atoms): 1.332
Space group: P-6m2 (187)
Crystal system: hexagonal
E above lowest polymorph (meV/atom): 0.0


Density of states at the Fermi level for every record listed, in sequence, given in states/eV/f.u.: 0.0, 2.7, 16.6.
Calculated total energy for every record listed, in sequence, given in eV for the cell shown: -440.90, -29.35, -44.95.